The following is a DFT calculation (PBE-GGA) of an optimized crystal structure of AcSmLu.

Values from the calculation:
Energy of formation: 0.068 eV/atom
Total magnetization: 0.00 μB per atom

Cell lengths 3.7430, 3.7430, 8.0973 Å; angles 103.36, 103.36, 90.00 degrees
Closest atoms and distances in Å follow each position.
Sites, in units of the cell vectors:
Ac (0.0019, 0.0019, 0.0038)  4 Lu 3.71, 4 Ac 3.74, 4 Sm 3.78
Lu (0.6722, 0.6722, 0.3445)  4 Sm 3.54, 4 Ac 3.71, 4 Lu 3.74
Sm (0.3258, 0.3258, 0.6517)  4 Lu 3.54, 4 Sm 3.74, 4 Ac 3.78